# 1
Below is Dy6SbTe3Pb2 after structural relaxation, with properties calculated at the PBE level.

## Properties
DOS(E_F) = 0.1638 states/eV/atom
M_tot = 0.00 μB per formula unit
uncorrected formation energy = -101 kJ per mole of atoms
uncorrected energy = -5.10 eV/atom

Unit cell a=4.412 b=8.801 c=9.836 alpha=102.73 beta=102.96 gamma=90.00
Element x y z (fractional)
Dy1 0.336 0.911 0.671
Dy2 0.669 0.577 0.337
Dy3 0.664 0.089 0.329
Dy4 0.003 0.244 0.006
Dy5 0.997 0.756 0.994
Dy6 0.331 0.423 0.663
Sb1 0.500 0.000 0.000
Te1 0.500 0.500 0.000
Te2 0.834 0.167 0.668
Te3 0.166 0.833 0.332
Pb1 0.833 0.668 0.667
Pb2 0.167 0.332 0.333



# 2
Below is Dy5ScPb6 after structural relaxation, with properties calculated at the PBE level.

## Properties
DOS(E_F) = 0.6707 states/eV/atom
M_tot = 0.00 μB per formula unit
energy of formation from the pure elements = -0.42 eV/atom
uncorrected energy = -4.72 eV/atom

Unit cell a=5.836 b=8.490 c=8.471 alpha=115.19 beta=103.57 gamma=102.66
Element x y z (fractional)
Sc1 0.000 0.000 0.000
Pb1 0.164 0.408 0.326
Pb2 0.163 0.919 0.326
Pb3 0.487 0.245 0.000
Pb4 0.513 0.755 0.000
Pb5 0.837 0.081 0.674
Pb6 0.836 0.592 0.674
Dy1 0.331 0.831 0.663
Dy2 0.666 0.666 0.331
Dy3 0.000 0.500 0.000
Dy4 0.334 0.334 0.669
Dy5 0.669 0.169 0.337



# 3
Below is Dy6ScPb10 after structural relaxation, with properties calculated at the PBE level.

## Properties
DOS(E_F) = 0.6742 states/eV/atom
M_tot = 0.00 μB per formula unit
energy of formation from the pure elements = -0.34 eV/atom
uncorrected energy = -4.52 eV/atom

Unit cell a=6.493 b=9.299 c=9.299 alpha=120.00 beta=90.00 gamma=90.00
Element x y z (fractional)
Dy1 0.740 0.390 0.390
Dy2 0.740 0.000 0.610
Dy3 0.740 0.610 0.000
Dy4 0.260 0.610 0.610
Dy5 0.260 0.000 0.390
Dy6 0.260 0.390 0.000
Sc1 0.500 0.000 0.000
Pb1 0.790 0.748 0.748
Pb2 0.790 0.000 0.252
Pb3 0.790 0.252 0.000
Pb4 0.210 0.252 0.252
Pb5 0.210 0.000 0.748
Pb6 0.210 0.748 0.000
Pb7 0.500 0.333 0.667
Pb8 0.500 0.667 0.333
Pb9 0.000 0.667 0.333
Pb10 0.000 0.333 0.667



# 4
Below is DySc2Pb after structural relaxation, with properties calculated at the PBE level.

## Properties
DOS(E_F) = 1.1836 states/eV/atom
polymorph energy (0 for the lowest one) = 0.0000 eV/atom
M_tot = 0.00 μB per formula unit
energy of formation from the pure elements = -0.33 eV/atom
uncorrected energy = -5.57 eV/atom

Unit cell a=4.520 b=4.432 c=10.935 alpha=101.70 beta=90.00 gamma=90.00
Element x y z (fractional)
Dy1 0.250 0.311 0.623
Dy2 0.750 0.689 0.377
Sc1 0.750 0.446 0.893
Sc2 0.250 0.554 0.107
Sc3 0.250 0.941 0.881
Sc4 0.750 0.059 0.119
Pb1 0.750 0.839 0.677
Pb2 0.250 0.161 0.323



# 5
Below is Dy3ScPb2 after structural relaxation, with properties calculated at the PBE level.

## Properties
DOS(E_F) = 0.8230 states/eV/atom
M_tot = 0.00 μB per formula unit
energy of formation from the pure elements = -0.43 eV/atom
uncorrected energy = -5.02 eV/atom

Unit cell a=4.508 b=4.508 c=8.432 alpha=90.00 beta=90.00 gamma=90.00
Element x y z (fractional)
Dy1 0.500 0.000 0.341
Dy2 0.000 0.500 0.659
Dy3 0.000 0.000 0.000
Sc1 0.500 0.500 0.000
Pb1 0.500 0.000 0.722
Pb2 0.000 0.500 0.278



# 6
Below is Dy3Sc5Pb2 after structural relaxation, with properties calculated at the PBE level.

## Properties
DOS(E_F) = 1.2980 states/eV/atom
M_tot = 0.98 μB per formula unit
energy of formation from the pure elements = 0.00 eV/atom
uncorrected energy = -5.28 eV/atom

Unit cell a=6.125 b=10.102 c=10.102 alpha=95.42 beta=72.35 gamma=72.35
Site moments in Bohr magnetons follow the coordinates.
Element x y z (fractional)
Dy1 0.250 0.000 0.000  -0.01
Dy2 0.750 0.000 0.000  -0.01
Dy3 0.382 0.348 0.889  0.03
Dy4 0.618 0.652 0.111  0.03
Dy5 0.882 0.889 0.348  0.03
Dy6 0.118 0.111 0.652  0.03
Sc1 0.250 0.500 0.500  0.20
Sc2 0.750 0.500 0.500  0.20
Sc3 0.510 0.740 0.740  0.14
Sc4 0.990 0.260 0.260  0.14
Sc5 0.490 0.260 0.260  0.14
Sc6 0.010 0.740 0.740  0.14
Sc7 0.109 0.549 0.234  0.08
Sc8 0.891 0.451 0.766  0.08
Sc9 0.609 0.234 0.549  0.08
Sc10 0.391 0.766 0.451  0.08
Pb1 0.149 0.700 0.003  0.00
Pb2 0.851 0.300 0.997  0.00
Pb3 0.649 0.003 0.700  0.00
Pb4 0.351 0.997 0.300  0.00



# 7
Below is Dy4Sc4Pb7 after structural relaxation, with properties calculated at the PBE level.

## Properties
DOS(E_F) = 0.9229 states/eV/atom
M_tot = 0.00 μB per formula unit
energy of formation from the pure elements = -0.46 eV/atom
uncorrected energy = -5.10 eV/atom

Unit cell a=6.447 b=11.705 c=11.705 alpha=85.65 beta=74.01 gamma=74.01
Element x y z (fractional)
Dy1 0.868 0.263 0.000
Dy2 0.132 0.737 0.000
Dy3 0.132 0.000 0.737
Dy4 0.868 0.000 0.263
Dy5 0.500 0.813 0.187
Dy6 0.500 0.187 0.813
Dy7 0.313 0.187 0.187
Dy8 0.687 0.813 0.813
Sc1 0.098 0.803 0.500
Sc2 0.402 0.197 0.500
Sc3 0.402 0.500 0.197
Sc4 0.098 0.500 0.803
Sc5 0.902 0.500 0.197
Sc6 0.598 0.500 0.803
Sc7 0.598 0.803 0.500
Sc8 0.902 0.197 0.500
Pb1 0.500 0.600 0.400
Pb2 0.500 0.400 0.600
Pb3 0.100 0.400 0.400
Pb4 0.900 0.600 0.600
Pb5 0.749 0.000 0.000
Pb6 0.251 0.000 0.000
Pb7 0.696 0.608 0.000
Pb8 0.304 0.392 0.000
Pb9 0.304 0.000 0.392
Pb10 0.696 0.000 0.608
Pb11 0.000 0.275 0.725
Pb12 0.000 0.725 0.275
Pb13 0.275 0.725 0.725
Pb14 0.725 0.275 0.275



# 8
Below is Dy3ScPb12 after structural relaxation, with properties calculated at the PBE level.

## Properties
DOS(E_F) = 0.5150 states/eV/atom
M_tot = 0.00 μB per formula unit
energy of formation from the pure elements = -0.24 eV/atom
uncorrected energy = -4.28 eV/atom

Unit cell a=4.898 b=4.898 c=19.164 alpha=90.00 beta=90.00 gamma=90.00
Element x y z (fractional)
Dy1 0.000 0.000 0.248
Dy2 0.000 0.000 0.500
Dy3 0.000 0.000 0.752
Sc1 0.000 0.000 0.000
Pb1 0.500 0.500 0.000
Pb2 0.500 0.500 0.247
Pb3 0.500 0.500 0.500
Pb4 0.500 0.500 0.753
Pb5 0.500 0.000 0.121
Pb6 0.500 0.000 0.374
Pb7 0.500 0.000 0.626
Pb8 0.500 0.000 0.879
Pb9 0.000 0.500 0.121
Pb10 0.000 0.500 0.374
Pb11 0.000 0.500 0.626
Pb12 0.000 0.500 0.879



> Look up the uncorrected energy of the sixth one.

-5.28 eV/atom



Please write out number 7 again, unchanged.
Below is Dy4Sc4Pb7 after structural relaxation, with properties calculated at the PBE level.

## Properties
DOS(E_F) = 0.9229 states/eV/atom
M_tot = 0.00 μB per formula unit
energy of formation from the pure elements = -0.46 eV/atom
uncorrected energy = -5.10 eV/atom

Unit cell a=6.447 b=11.705 c=11.705 alpha=85.65 beta=74.01 gamma=74.01
Element x y z (fractional)
Dy1 0.868 0.263 0.000
Dy2 0.132 0.737 0.000
Dy3 0.132 0.000 0.737
Dy4 0.868 0.000 0.263
Dy5 0.500 0.813 0.187
Dy6 0.500 0.187 0.813
Dy7 0.313 0.187 0.187
Dy8 0.687 0.813 0.813
Sc1 0.098 0.803 0.500
Sc2 0.402 0.197 0.500
Sc3 0.402 0.500 0.197
Sc4 0.098 0.500 0.803
Sc5 0.902 0.500 0.197
Sc6 0.598 0.500 0.803
Sc7 0.598 0.803 0.500
Sc8 0.902 0.197 0.500
Pb1 0.500 0.600 0.400
Pb2 0.500 0.400 0.600
Pb3 0.100 0.400 0.400
Pb4 0.900 0.600 0.600
Pb5 0.749 0.000 0.000
Pb6 0.251 0.000 0.000
Pb7 0.696 0.608 0.000
Pb8 0.304 0.392 0.000
Pb9 0.304 0.000 0.392
Pb10 0.696 0.000 0.608
Pb11 0.000 0.275 0.725
Pb12 0.000 0.725 0.275
Pb13 0.275 0.725 0.725
Pb14 0.725 0.275 0.275



> Which formula does entry 7 have?

Dy4Sc4Pb7



> Among the records above, which one has the highest uncorrected energy?

Dy3ScPb12